Record 1
First-principles (PBE) data for SrNiB2 after structural relaxation, as listed in Alexandria via LeMat-Bulk.

Values from the calculation:
ΔH_f (0 K)   106 kJ per mole of atoms
Energy relative to the lowest polymorph listed for this composition   999 meV per atom
Electronic total energy   -16.44 eV per cell
Space group   Fm-3m, No. 225
Total magnetization   0.0 μB/f.u.

Unit cell a=4.265 b=4.265 c=4.265 alpha=60.00 beta=60.00 gamma=60.00
Fractional positions:
Sr  0.000  0.000  0.000
Ni  0.500  0.500  0.500
B  0.250  0.250  0.250
B  0.750  0.750  0.750

***

Record 2
First-principles (PBE) data for Li2Ac2SmPb2 after structural relaxation, as listed in Alexandria via LeMat-Bulk.

Values from the calculation:
ΔH_f (0 K)   -33 kJ per mole of atoms
Electronic total energy   -26.57 eV per cell
Space group   R-3m, No. 166
Total magnetization   0.0 μB/f.u.

Unit cell a=11.045 b=11.045 c=11.045 alpha=25.47 beta=25.47 gamma=25.47
Fractional positions:
Li  0.118  0.118  0.118
Li  0.882  0.882  0.882
Ac  0.378  0.378  0.378
Ac  0.622  0.622  0.622
Sm  0.500  0.500  0.500
Pb  0.224  0.224  0.224
Pb  0.776  0.776  0.776

***

Record 3
First-principles (PBE) data for Ca3GaSn2Au6 after structural relaxation, as listed in Alexandria via LeMat-Bulk.

Values from the calculation:
ΔH_f (0 K)   -49 kJ per mole of atoms
Electronic total energy   -42.84 eV per cell
Space group   P-3m1, No. 164
Total magnetization   0.0 μB/f.u.

Unit cell a=6.082 b=6.082 c=8.760 alpha=90.00 beta=90.00 gamma=120.00
Fractional positions:
Ca  0.000  0.000  0.000
Ca  0.333  0.667  0.612
Ca  0.667  0.333  0.388
Ga  0.000  0.000  0.500
Sn  0.333  0.667  0.019
Sn  0.667  0.333  0.981
Au  0.173  0.345  0.287
Au  0.173  0.827  0.287
Au  0.345  0.173  0.713
Au  0.655  0.827  0.287
Au  0.827  0.173  0.713
Au  0.827  0.655  0.713

***

Record 4
First-principles (PBE) data for Pr2Ga2Au3 after structural relaxation, as listed in Alexandria via LeMat-Bulk.

Values from the calculation:
ΔH_f (0 K)   -66 kJ per mole of atoms
Energy relative to the lowest polymorph listed for this composition   3 meV per atom
Electronic total energy   -30.22 eV per cell
Space group   C2/m, No. 12
Total magnetization   0.0 μB/f.u.

Unit cell a=5.794 b=5.794 c=7.264 alpha=112.01 beta=112.01 gamma=43.51
Fractional positions:
Pr  0.137  0.137  0.266
Pr  0.863  0.863  0.734
Ga  0.151  0.151  0.713
Ga  0.849  0.849  0.287
Au  0.383  0.383  0.066
Au  0.500  0.500  0.500
Au  0.617  0.617  0.934

***

Record 5
First-principles (PBE) data for ZrPtCl2 after structural relaxation, as listed in Alexandria via LeMat-Bulk.

Values from the calculation:
Energy relative to the lowest polymorph listed for this composition   940 meV per atom
Electronic total energy   -19.18 eV per cell
Space group   P4/mmm, No. 123
Formation energy from raw total energies   -223 meV per atom
Total magnetization   0.0 μB/f.u.

Unit cell a=4.186 b=4.186 c=4.214 alpha=90.00 beta=90.00 gamma=90.00
Fractional positions:
Zr  0.000  0.000  0.000
Pt  0.500  0.500  0.000
Cl  0.000  0.500  0.500
Cl  0.500  0.000  0.500

***

Record 6
First-principles (PBE) data for Zr2NpPb after structural relaxation, as listed in Alexandria via LeMat-Bulk.

Values from the calculation:
ΔH_f (0 K)   15 kJ per mole of atoms
Energy relative to the lowest polymorph listed for this composition   0 meV per atom
Electronic total energy   -33.13 eV per cell
Space group   P4/mmm, No. 123
Total magnetization   4.2 μB/f.u.

Unit cell a=3.696 b=3.696 c=6.823 alpha=90.00 beta=90.00 gamma=90.00
Fractional positions:
Zr  0.000  0.000  0.245
Zr  0.000  0.000  0.755
Np  0.500  0.500  0.000
Pb  0.500  0.500  0.500

***

Record 7
First-principles (PBE) data for Sc2PbS after structural relaxation, as listed in Alexandria via LeMat-Bulk.

Values from the calculation:
Energy relative to the lowest polymorph listed for this composition   521 meV per atom
Electronic total energy   -46.07 eV per cell
Space group   I-42d, No. 122
Formation energy from raw total energies   -634 meV per atom
Total magnetization   0.0 μB/f.u.

Unit cell a=7.703 b=7.703 c=7.703 alpha=133.11 beta=133.11 gamma=68.48
Fractional positions:
Sc  0.075  0.625  0.950
Sc  0.375  0.325  0.450
Sc  0.675  0.125  0.050
Sc  0.875  0.925  0.550
Pb  0.250  0.750  0.500
Pb  0.500  0.500  0.000
S  0.000  0.000  0.000
S  0.750  0.250  0.500

***

Record 8
First-principles (PBE) data for V3Ni2Ir2 after structural relaxation, as listed in Alexandria via LeMat-Bulk.

Values from the calculation:
ΔH_f (0 K)   -28 kJ per mole of atoms
Energy relative to the lowest polymorph listed for this composition   0 meV per atom
Electronic total energy   -58.68 eV per cell
Space group   C2/m, No. 12
Total magnetization   0.0 μB/f.u.

Unit cell a=4.831 b=4.831 c=6.225 alpha=98.93 beta=98.93 gamma=39.42
Fractional positions:
V  0.000  0.000  0.000
V  0.283  0.283  0.843
V  0.717  0.717  0.157
Ni  0.152  0.152  0.424
Ni  0.848  0.848  0.576
Ir  0.429  0.429  0.286
Ir  0.571  0.571  0.714

***

Record 9
First-principles (PBE) data for Ni2CI after structural relaxation, as listed in Alexandria via LeMat-Bulk.

Values from the calculation:
Energy relative to the lowest polymorph listed for this composition   0 meV per atom
Electronic total energy   -42.84 eV per cell
Space group   P1, No. 1
Formation energy from raw total energies   230 meV per atom
Total magnetization   0.0 μB/f.u.

Unit cell a=3.832 b=4.071 c=10.214 alpha=100.18 beta=90.14 gamma=118.07
Fractional positions:
Ni  0.000  0.000  0.000
Ni  0.072  0.148  0.752
Ni  0.434  0.869  0.843
Ni  0.511  0.028  0.590
C  0.655  0.313  0.765
C  0.850  0.701  0.828
I  0.367  0.733  0.119
I  0.806  0.620  0.468